# LiBiB2 PBE optimized geometry
# E_form   1353 meV/atom
# DOS at the Fermi energy   8.1 states/eV/cell
data_LiBiB2
_cell_length_a 6.990
_cell_length_b 6.990
_cell_length_c 5.103
_cell_angle_alpha 90.00
_cell_angle_beta 90.00
_cell_angle_gamma 90.00
_symmetry_space_group_name_H-M 'I -4 2 d'
_symmetry_Int_Tables_number 122
_symmetry_space_group_name_Hall 'I -4 2bw'
loop_
_atom_site_label
_atom_site_type_symbol
_atom_site_fract_x
_atom_site_fract_y
_atom_site_fract_z
Li1 Li 0.000 0.000 0.000
Bi1 Bi 0.000 0.000 0.500
B1 B 0.232 0.250 0.625